# CoCuPd2F8

CoCuPd2F8 after structural relaxation (GGA+U, the Alexandria database).

Results
Uncorrected energy   -4.117 eV per atom
Space-group type   No. 119

Lattice parameters (Å, degrees): 6.0429 6.0429 6.0429 115.06 115.06 98.79
Closest atoms and distances in Å follow each position.
Element x y z (fractional)
F 0.7348 0.0336 0.7012  1 Cu 1.96, 1 Pd 2.15
F 0.2938 0.0919 0.7981  1 Co 1.96, 1 Pd 2.09
F 0.9664 0.2652 0.2988  1 Cu 1.96, 1 Pd 2.15
F 0.2938 0.4956 0.2019  1 Co 1.96, 1 Pd 2.09
F 0.9664 0.6677 0.7012  1 Cu 1.96, 1 Pd 2.15
F 0.3323 0.0336 0.2988  1 Cu 1.96, 1 Pd 2.15
F 0.9081 0.7062 0.2019  1 Co 1.96, 1 Pd 2.09
F 0.5044 0.7062 0.7981  1 Co 1.96, 1 Pd 2.09
Co 0.2500 0.7500 0.5000  4 F 1.96
Pd 0.7500 0.2500 0.5000  4 F 2.15
Pd 0.5000 0.5000 0.0000  4 F 2.09
Cu 0.0000 0.0000 0.0000  4 F 1.96